# 1
# Ta2Tl (PBE, optimized geometry)
data_Ta2Tl
_symmetry_space_group_name_H-M 'P 6/m m m'
_symmetry_Int_Tables_number 191
_symmetry_space_group_name_Hall '-P 6 2'
_cell_length_a 4.8716
_cell_length_b 4.8716
_cell_length_c 2.9146
_cell_angle_alpha 90.00
_cell_angle_beta 90.00
_cell_angle_gamma 120.00
loop_
_atom_site_label
_atom_site_type_symbol
_atom_site_fract_x
_atom_site_fract_y
_atom_site_fract_z
_atom_site_occupancy
Ta1 Ta 0.3333 0.6667 0.0000 1
Tl1 Tl 0.0000 0.0000 0.5000 1
# DFT formation energy in kJ/mol of formula units: 176.9
# Fermi-level density of states in states/eV per atom: 0.52
# M_tot in μB per formula unit: 0.00
# E_tot in eV/atom: -8.079



# 2
# YEr2AlS6 (PBE, optimized geometry)
data_YEr2AlS6
_symmetry_space_group_name_H-M 'R 3'
_symmetry_Int_Tables_number 146
_symmetry_space_group_name_Hall 'R 3'
_cell_length_a 6.6883
_cell_length_b 6.6883
_cell_length_c 17.8284
_cell_angle_alpha 90.00
_cell_angle_beta 90.00
_cell_angle_gamma 120.00
loop_
_atom_site_label
_atom_site_type_symbol
_atom_site_fract_x
_atom_site_fract_y
_atom_site_fract_z
_atom_site_occupancy
Y1 Y 0.0000 0.0000 0.0000 1
Er1 Er 0.0000 0.0000 0.2944 1
Er2 Er 0.0000 0.0000 0.7979 1
Al1 Al 0.0000 0.0000 0.4948 1
S1 S 0.0009 0.3693 0.2311 1
S2 S 0.0516 0.6768 0.0718 1
# Formation energy (no corrections) in kcal/mol of atoms: -40.4
# Fermi-level density of states in states/eV per atom: 0.00
# M_tot in μB per formula unit: 0.00
# E_tot in eV/atom: -6.161



# 3
# Cs2Bi2Pt (PBE, optimized geometry)
data_Cs2Bi2Pt
_symmetry_space_group_name_H-M 'P 4/m b m'
_symmetry_Int_Tables_number 127
_symmetry_space_group_name_Hall '-P 4 2ab'
_cell_length_a 7.460
_cell_length_b 7.460
_cell_length_c 6.561
_cell_angle_alpha 90.00
_cell_angle_beta 90.00
_cell_angle_gamma 90.00
loop_
_atom_site_label
_atom_site_type_symbol
_atom_site_fract_x
_atom_site_fract_y
_atom_site_fract_z
_atom_site_occupancy
Cs1 Cs 0.173 0.327 0.000 1
Bi1 Bi 0.149 0.649 0.500 1
Pt1 Pt 0.000 0.000 0.500 1
# DFT formation energy in kJ/mol of formula units: -105.0
# Fermi-level density of states in states/eV per atom: 0.68
# M_tot in μB per formula unit: 0.00
# E_tot in eV/atom: -3.320



# 4
# Ga3Cu3Pd (PBE, optimized geometry)
data_Ga3Cu3Pd
_symmetry_space_group_name_H-M 'P 63/m'
_symmetry_Int_Tables_number 176
_symmetry_space_group_name_Hall '-P 6c'
_cell_length_a 7.3050
_cell_length_b 7.3050
_cell_length_c 4.2503
_cell_angle_alpha 90.00
_cell_angle_beta 90.00
_cell_angle_gamma 120.00
loop_
_atom_site_label
_atom_site_type_symbol
_atom_site_fract_x
_atom_site_fract_y
_atom_site_fract_z
_atom_site_occupancy
Ga1 Ga 0.0851 0.4446 0.2500 1
Cu1 Cu 0.0461 0.2257 0.7500 1
Pd1 Pd 0.3333 0.6667 0.7500 1
# DFT formation energy in kJ/mol of formula units: -147.7
# Fermi-level density of states in states/eV per atom: 0.35
# M_tot in μB per formula unit: 0.00
# E_tot in eV/atom: -4.013



# 5
# Pm3SeS2 (PBE, optimized geometry)
data_Pm3SeS2
_symmetry_space_group_name_H-M 'P -4 m 2'
_symmetry_Int_Tables_number 115
_symmetry_space_group_name_Hall 'P -4 -2'
_cell_length_a 4.029
_cell_length_b 4.029
_cell_length_c 9.541
_cell_angle_alpha 90.00
_cell_angle_beta 90.00
_cell_angle_gamma 90.00
loop_
_atom_site_label
_atom_site_type_symbol
_atom_site_fract_x
_atom_site_fract_y
_atom_site_fract_z
_atom_site_occupancy
Pm1 Pm 0.000 0.000 0.000 1
Pm2 Pm 0.000 0.500 0.636 1
Se1 Se 0.500 0.500 0.000 1
S1 S 0.000 0.500 0.340 1
# Formation energy (no corrections) in kcal/mol of atoms: -38.5
# Excess energy over the best structure of this formula in the dataset in eV/atom: 0.000
# Fermi-level density of states in states/eV per atom: 0.84
# M_tot in μB per formula unit: 0.00
# E_tot in eV/atom: -6.000



# 6
# La2As3IrRh4 (PBE, optimized geometry)
data_La2As3IrRh4
_symmetry_space_group_name_H-M 'P -4 m 2'
_symmetry_Int_Tables_number 115
_symmetry_space_group_name_Hall 'P -4 -2'
_cell_length_a 4.314
_cell_length_b 4.314
_cell_length_c 10.199
_cell_angle_alpha 90.00
_cell_angle_beta 90.00
_cell_angle_gamma 90.00
loop_
_atom_site_label
_atom_site_type_symbol
_atom_site_fract_x
_atom_site_fract_y
_atom_site_fract_z
_atom_site_occupancy
La1 La 0.000 0.500 0.248 1
As1 As 0.000 0.000 0.000 1
As2 As 0.000 0.500 0.632 1
Ir1 Ir 0.500 0.500 0.000 1
Rh1 Rh 0.000 0.000 0.500 1
Rh2 Rh 0.000 0.500 0.871 1
Rh3 Rh 0.500 0.500 0.500 1
# DFT formation energy in kJ/mol of formula units: -760.8
# Fermi-level density of states in states/eV per atom: 1.00
# M_tot in μB per formula unit: 0.00
# E_tot in eV/atom: -6.996



# 7
# K2OsPbO4 (PBE, optimized geometry)
data_K2OsPbO4
_symmetry_space_group_name_H-M 'I -4'
_symmetry_Int_Tables_number 82
_symmetry_space_group_name_Hall 'I -4'
_cell_length_a 6.324
_cell_length_b 6.324
_cell_length_c 7.335
_cell_angle_alpha 90.00
_cell_angle_beta 90.00
_cell_angle_gamma 90.00
loop_
_atom_site_label
_atom_site_type_symbol
_atom_site_fract_x
_atom_site_fract_y
_atom_site_fract_z
_atom_site_occupancy
K1 K 0.000 0.000 0.000 1
K2 K 0.000 0.500 0.250 1
Os1 Os 0.000 0.000 0.500 1
Pb1 Pb 0.000 0.500 0.750 1
O1 O 0.165 0.749 0.524 1
# Formation energy (no corrections) in kcal/mol of atoms: -26.1
# Fermi-level density of states in states/eV per atom: 0.58
# M_tot in μB per formula unit: 2.00
# E_tot in eV/atom: -5.752



# 8
# Sm4Ho8Pu (PBE, optimized geometry)
data_Sm4Ho8Pu
_symmetry_space_group_name_H-M 'R -3 m'
_symmetry_Int_Tables_number 166
_symmetry_space_group_name_Hall '-R 3 2"'
_cell_length_a 10.9580
_cell_length_b 10.9580
_cell_length_c 13.3732
_cell_angle_alpha 90.00
_cell_angle_beta 90.00
_cell_angle_gamma 120.00
loop_
_atom_site_label
_atom_site_type_symbol
_atom_site_fract_x
_atom_site_fract_y
_atom_site_fract_z
_atom_site_occupancy
Sm1 Sm 0.0000 0.0000 0.0000 1
Sm2 Sm 0.0000 0.5000 0.0000 1
Ho1 Ho 0.0000 0.0000 0.2440 1
Ho2 Ho 0.0077 0.5038 0.7473 1
Pu1 Pu 0.0000 0.0000 0.5000 1
# DFT formation energy in kJ/mol of formula units: 668.1
# Fermi-level density of states in states/eV per atom: 1.67
# M_tot in μB per formula unit: 6.78
# E_tot in eV/atom: -4.839